[1]
The following is a GGA-PBE calculation of LiAgC2 after structural relaxation, from Alexandria via LeMat-Bulk.

Cell: 6.2801 6.2801 4.5143 Å, 90.00 90.00 90.00°
Last column: nearest neighbours and their distance in Å.
Space group I-42d (No. 122)
One atom of each set of equivalent atoms:
Li 0.0000 0.0000 0.0000 x4  2 Ag 2.26, 4 C 2.35
Ag 0.0000 0.0000 0.5000 x4  4 C 2.23, 2 Li 2.26
C 0.2361 0.7500 0.6250 x8  2 Ag 2.23, 2 C 2.26, 2 Li 2.35

Properties
The calculation puts the formation energy at 196 kJ/mol of atoms.



[2]
The following is a GGA-PBE calculation of KH2Ru after structural relaxation, from Alexandria via LeMat-Bulk.

Cell: 5.8414 5.8414 5.8414 Å, 90.00 90.00 90.00°
Last column: nearest neighbours and their distance in Å.
Space group Fm-3m (No. 225)
One atom of each set of equivalent atoms:
K 0.0000 0.0000 0.0000 x4  8 H 2.53
H 0.2500 0.2500 0.2500 x8  4 Ru 2.53, 4 K 2.53
Ru 0.0000 0.0000 0.5000 x4  8 H 2.53

Properties
As for the total DFT energy (no corrections): -3.007 eV per atom.



[3]
The following is a GGA-PBE calculation of Sc2ZnFe2 after structural relaxation, from Alexandria via LeMat-Bulk.

Cell: 6.6137 6.6137 3.7783 Å, 90.00 90.00 90.00°
Last column: nearest neighbours and their distance in Å.
Space group P4/mbm (No. 127)
One atom of each set of equivalent atoms:
Sc 0.1755 0.3245 0.0000 x4  6 Fe 2.69-2.74
Zn 0.0000 0.0000 0.5000 x2  4 Fe 2.64
Fe 0.1192 0.6192 0.5000 x4  1 Fe 2.23

Properties
The calculation puts the formation energy at -13 kJ/mol of atoms.



[4]
The following is a GGA-PBE calculation of LiYBr3 after structural relaxation, from Alexandria via LeMat-Bulk.

Cell: 6.8095 6.8106 7.6891 Å, 64.27 69.20 64.72°
Last column: nearest neighbours and their distance in Å.
Space group P-1 (No. 2)
One atom of each set of equivalent atoms:
Li 0.1277 0.1690 0.0575 x2  5 Br 2.64-2.86
Y 0.3601 0.3621 0.4862 x2  6 Br 2.89-3.01
Br 0.0492 0.7650 0.2578 x2  2 Li 2.69-2.86, 1 Y 2.93
Br 0.2414 0.5573 0.7915 x2  2 Li 2.64-2.78, 2 Y 2.89
Br 0.4215 0.0802 0.2536 x2  1 Li 2.64, 1 Y 2.89

Properties
As for the formation energy (no corrections): -7.58 eV/f.u.



[5]
The following is a GGA-PBE calculation of BeRhBr2 after structural relaxation, from Alexandria via LeMat-Bulk.

Cell: 3.5892 6.8973 7.7279 Å, 79.46 85.24 83.98°
Last column: nearest neighbours and their distance in Å.
Space group P1 (No. 1)
One atom of each set of equivalent atoms:
Be 0.0000 0.0000 0.0000 x1  2 Br 2.16-2.27, 1 Rh 2.31
Be 0.1720 0.6847 0.8566 x1  3 Rh 2.16-2.32, 2 Br 2.28-2.33
Rh 0.1100 0.4184 0.0500 x1  1 Be 2.16
Rh 0.6192 0.7444 0.0233 x1  3 Be 2.25-2.32, 1 Br 2.50
Br 0.3544 0.5419 0.2984 x1  2 Rh 2.49-2.50
Br 0.4241 0.0563 0.1826 x1  2 Be 2.27-2.44
Br 0.6888 0.8042 0.6819 x1  2 Be 2.28-2.33
Br 0.9978 0.2580 0.7943 x1  1 Be 2.16

Properties
As for the formation energy (no corrections): -1.09 eV/f.u.



[6]
The following is a GGA-PBE calculation of Cu2H12C4Br3N after structural relaxation, from Alexandria via LeMat-Bulk.

Cell: 17.3561 6.6496 9.6008 Å, 90.00 90.00 90.00°
Last column: nearest neighbours and their distance in Å.
Space group Pnma (No. 62)
One atom of each set of equivalent atoms:
Cu 0.0675 0.0054 0.0585 x8  4 Br 2.44-2.62, 1 Cu 2.60
H 0.0371 0.7500 0.5700 x4  1 C 1.10
H 0.0625 0.6154 0.4130 x8  1 C 1.10
H 0.1369 0.5686 0.6980 x8  1 C 1.10
H 0.1600 0.0661 0.5400 x8  1 C 1.10
H 0.1929 0.6150 0.3306 x8  1 C 1.10
H 0.2332 0.2500 0.9241 x4  1 C 1.10
H 0.2340 0.5666 0.6324 x8  1 C 1.10
C 0.0732 0.7500 0.4761 x4  3 H 1.10
C 0.1728 0.5658 0.6043 x8  3 H 1.10
C 0.2063 0.7500 0.3915 x4  3 H 1.10
Br 0.0384 0.2500 0.8611 x4  4 Cu 2.55-2.62
Br 0.0962 0.2500 0.2457 x4  2 Cu 2.47
Br 0.1601 0.7500 0.9870 x4  2 Cu 2.44
N 0.1563 0.7500 0.5193 x4  4 C 1.50

Properties
As for the total DFT energy (no corrections): -4.728 eV per atom.



[7]
The following is a GGA-PBE calculation of Tb3Nd6Y2Ho after structural relaxation, from Alexandria via LeMat-Bulk.

Cell: 6.2887 10.8919 11.8968 Å, 90.00 100.12 90.00°
Last column: nearest neighbours and their distance in Å.
Space group C2/m (No. 12)
One atom of each set of equivalent atoms:
Tb 0.0000 0.0000 0.0000 x2  6 Nd 3.60-3.61, 6 Tb 3.63
Tb 0.0000 0.3333 0.0000 x4  6 Nd 3.60-3.61, 6 Tb 3.63
Nd 0.2490 0.5000 0.2502 x4  1 Ho 3.59, 3 Tb 3.60-3.61, 2 Y 3.60, 6 Nd 3.62-3.64
Nd 0.2501 0.1661 0.2501 x8  1 Ho 3.60, 3 Tb 3.60-3.61, 2 Y 3.60, 6 Nd 3.62-3.64
Y 0.0000 0.1667 0.5000 x4  6 Nd 3.60, 3 Ho 3.63, 3 Y 3.63
Ho 0.0000 0.5000 0.5000 x2  6 Nd 3.59-3.60, 6 Y 3.63

Properties
The calculation puts the formation energy at 1 kJ/mol of atoms.



[8]
The following is a GGA-PBE calculation of Ga2NO after structural relaxation, from Alexandria via LeMat-Bulk.

Cell: 4.6897 4.6897 9.3815 Å, 90.00 90.00 90.00°
Last column: nearest neighbours and their distance in Å.
Space group I-42d (No. 122)
One atom of each set of equivalent atoms:
Ga 0.2366 0.2500 0.1250 x8  2 N 2.00, 2 O 2.07
N 0.0000 0.0000 0.0000 x4  4 Ga 2.00
O 0.0000 0.0000 0.5000 x4  4 Ga 2.07

Properties
As for the formation energy (no corrections): -2.74 eV/f.u.



[9]
The following is a GGA-PBE calculation of HfTaFeTe2 after structural relaxation, from Alexandria via LeMat-Bulk.

Cell: 5.3679 5.3679 4.4188 Å, 90.00 90.00 90.00°
Last column: nearest neighbours and their distance in Å.
Space group P4/mmm (No. 123)
One atom of each set of equivalent atoms:
Hf 0.0000 0.0000 0.0000 x1  2 Fe 2.21
Ta 0.5000 0.5000 0.5000 x1  8 Te 3.48, 4 Fe 3.80
Fe 0.0000 0.0000 0.5000 x1  2 Hf 2.21
Te 0.0000 0.5000 0.0000 x2  2 Hf 2.68

Properties
As for the formation energy (no corrections): 6.91 eV/f.u.



[10]
The following is a GGA-PBE calculation of Ac3NdSn2 after structural relaxation, from Alexandria via LeMat-Bulk.

Cell: 4.8595 5.0619 18.1903 Å, 90.00 90.00 90.00°
Last column: nearest neighbours and their distance in Å.
Space group Immm (No. 71)
One atom of each set of equivalent atoms:
Ac 0.0000 0.0000 0.0000 x2  4 Sn 3.50, 4 Nd 3.51
Ac 0.0000 0.5000 0.3212 x4  5 Sn 3.43-3.61
Nd 0.0000 0.0000 0.5000 x2  4 Sn 3.43, 4 Ac 3.51
Sn 0.0000 0.5000 0.1328 x4  7 Ac 3.43-3.61, 2 Nd 3.43

Properties
The calculation puts the formation energy at -53 kJ/mol of atoms.



[11]
The following is a GGA-PBE calculation of ScSb2SeI after structural relaxation, from Alexandria via LeMat-Bulk.

Cell: 5.3601 5.3601 5.6726 Å, 90.00 90.00 90.00°
Last column: nearest neighbours and their distance in Å.
Space group P4/mmm (No. 123)
One atom of each set of equivalent atoms:
Sc 0.0000 0.0000 0.0000 x1  4 I 3.79, 8 Sb 3.90
Sb 0.0000 0.5000 0.5000 x2  2 Se 2.68
Se 0.5000 0.5000 0.5000 x1  4 Sb 2.68, 2 I 2.84
I 0.5000 0.5000 0.0000 x1  2 Se 2.84

Properties
As for the formation energy (no corrections): 2.16 eV/f.u.



[12]
The following is a GGA-PBE calculation of Y5Se after structural relaxation, from Alexandria via LeMat-Bulk.

Cell: 11.6564 3.6958 8.5579 Å, 90.00 101.80 90.00°
Last column: nearest neighbours and their distance in Å.
Space group Cm (No. 8)
One atom of each set of equivalent atoms:
Y 0.0000 0.0000 0.0000 x2  2 Se 2.99
Y 0.0605 0.0000 0.4173 x2  11 Y 3.43-3.70
Y 0.1602 0.5000 0.7560 x2  2 Se 2.88
Y 0.2605 0.5000 0.2376 x2  2 Se 2.99
Y 0.3686 0.0000 0.6212 x2  1 Se 3.33, 8 Y 3.36-3.70
Se 0.2958 0.0000 0.9773 x2  6 Y 2.88-2.99

Properties
As for the formation energy (no corrections): -2.88 eV/f.u.



[13]
The following is a GGA-PBE calculation of Li3Ag5Pb2 after structural relaxation, from Alexandria via LeMat-Bulk.

Cell: 11.2987 12.9513 5.6927 Å, 90.00 90.00 90.00°
Last column: nearest neighbours and their distance in Å.
Space group Ibam (No. 72)
One atom of each set of equivalent atoms:
Li 0.0000 0.0000 0.2500 x4  6 Ag 2.84, 2 Li 2.85
Li 0.1158 0.3560 0.0000 x8  5 Ag 2.65-2.79
Ag 0.0000 0.5000 0.2500 x4  4 Li 2.69, 4 Ag 2.81-2.85
Ag 0.1302 0.1520 0.0000 x8  3 Li 2.65-2.84, 2 Ag 2.79
Ag 0.2488 0.5000 0.2500 x8  3 Li 2.79-2.84, 5 Ag 2.79-2.85
Pb 0.1256 0.2239 0.5000 x8  4 Ag 3.00-3.19, 4 Li 3.10-3.32

Properties
The calculation puts the formation energy at -2 kJ/mol of atoms.



[14]
The following is a GGA-PBE calculation of SnTe2I after structural relaxation, from Alexandria via LeMat-Bulk.

Cell: 4.4652 4.4652 27.9278 Å, 90.00 90.00 120.00°
Last column: nearest neighbours and their distance in Å.
Space group R-3m (No. 166, hexagonal axes)
One atom of each set of equivalent atoms:
Sn 0.0000 0.0000 0.0000 x3  6 Te 3.08
Te 0.0000 0.0000 0.3940 x6  1 I 2.96, 3 Sn 3.08
I 0.0000 0.0000 0.5000 x3  2 Te 2.96

Properties
As for the formation energy (no corrections): -0.27 eV/f.u.



[15]
The following is a GGA-PBE calculation of PrSc2Rh9 after structural relaxation, from Alexandria via LeMat-Bulk.

Cell: 5.2283 5.2283 25.9200 Å, 90.00 90.00 120.00°
Last column: nearest neighbours and their distance in Å.
Space group R-3m (No. 166, hexagonal axes)
One atom of each set of equivalent atoms:
Pr 0.0000 0.0000 0.0000 x3  6 Rh 3.02
Sc 0.0000 0.0000 0.1407 x6  12 Rh 2.98-3.16, 3 Sc 3.30
Rh 0.0000 0.0000 0.3336 x6  6 Rh 2.67-2.68
Rh 0.0000 0.0000 0.5000 x3  6 Rh 2.60
Rh 0.0027 0.5014 0.9148 x18  7 Rh 2.59-2.68

Properties
The calculation puts the formation energy at -50 kJ/mol of atoms.



These records have magnetic moment values of 0.00, 0.92, 5.87, 1.97, 0.04, 0.00, 0.00, 0.00, 0.00, 0.41, 0.00, 0.54, 0.00, 0.00, 0.00 μB/cell, in the order they appear.